[1]
DFT (PBE with a Hubbard U) results for a relaxed structure of Ba3Pu2FeO9.

a = 6.0273 Å, b = 6.0273 Å, c = 7.4360 Å
α = 90.00°, β = 90.00°, γ = 120.00°
Space group P-3m1 (No. 164)
Symmetry-distinct sites (fractional):
Ba 0.0000 0.0000 0.0000 [1 per cell]
Ba 0.3333 0.6667 0.6557 [2 per cell]
Pu 0.3333 0.6667 0.1763 [2 per cell]
Fe 0.0000 0.0000 0.5000 [1 per cell]
O 0.0000 0.5000 0.0000 [3 per cell]
O 0.1621 0.3243 0.3399 [6 per cell]

Results
electronic total energy	-125.145	eV for the cell shown
theoretical density	7807	kg/m³

[2]
DFT (PBE with a Hubbard U) results for a relaxed structure of Ba3PuFe2O8.

a = 6.0581 Å, b = 6.0581 Å, c = 7.6514 Å
α = 90.00°, β = 90.00°, γ = 120.00°
Space group P-3m1 (No. 164)
Symmetry-distinct sites (fractional):
Ba 0.0000 0.0000 0.0000 [1 per cell]
Ba 0.3333 0.6667 0.6603 [2 per cell]
Pu 0.0000 0.0000 0.5000 [1 per cell]
Fe 0.3333 0.6667 0.2143 [2 per cell]
O 0.1676 0.3353 0.3224 [6 per cell]
O 0.3333 0.6667 0.9785 [2 per cell]

Results
electronic total energy	-103.729	eV for the cell shown
theoretical density	6116	kg/m³

[3]
DFT (PBE with a Hubbard U) results for a relaxed structure of Ba4Pu3FeO12.

a = 8.6310 Å, b = 8.6310 Å, c = 8.6310 Å
α = 90.00°, β = 90.00°, γ = 90.00°
Space group Im-3m (No. 229)
Symmetry-distinct sites (fractional):
Ba 0.2500 0.2500 0.2500 [8 per cell]
Pu 0.0000 0.0000 0.5000 [6 per cell]
Fe 0.0000 0.0000 0.0000 [2 per cell]
O 0.0000 0.0000 0.2448 [12 per cell]
O 0.0000 0.2500 0.5000 [12 per cell]

Results
electronic total energy	-341.474	eV for the cell shown
theoretical density	7898	kg/m³

[4]
DFT (PBE with a Hubbard U) results for a relaxed structure of Rb2BaFeO4.

a = 6.4310 Å, b = 6.4310 Å, c = 8.1802 Å
α = 90.00°, β = 90.00°, γ = 90.00°
Space group I-4 (No. 82)
Symmetry-distinct sites (fractional):
Rb 0.0000 0.0000 0.0000 [2 per cell]
Rb 0.0000 0.5000 0.2500 [2 per cell]
Ba 0.0000 0.0000 0.5000 [2 per cell]
Fe 0.0000 0.5000 0.7500 [2 per cell]
O 0.1672 0.6984 0.6566 [8 per cell]

Results
electronic total energy	-84.283	eV for the cell shown
theoretical density	4202	kg/m³

[5]
DFT (PBE with a Hubbard U) results for a relaxed structure of RbBaFeO3.

a = 14.1477 Å, b = 3.9771 Å, c = 8.3016 Å
α = 90.00°, β = 106.90°, γ = 90.00°
Space group C2/m (No. 12)
Symmetry-distinct sites (fractional):
Rb 0.1458 0.0000 0.0658 [4 per cell]
Ba 0.1542 0.0000 0.5860 [4 per cell]
Fe 0.0069 0.5000 0.2712 [4 per cell]
O 0.0066 0.0000 0.2838 [4 per cell]
O 0.1307 0.5000 0.7947 [4 per cell]
O 0.1455 0.5000 0.3466 [4 per cell]

Results
electronic total energy	-134.240	eV for the cell shown
theoretical density	4854	kg/m³

[6]
DFT (PBE with a Hubbard U) results for a relaxed structure of BaFeRe2O8.

a = 5.7962 Å, b = 5.7962 Å, c = 7.2835 Å
α = 90.00°, β = 90.00°, γ = 120.00°
Space group P-3m1 (No. 164)
Symmetry-distinct sites (fractional):
Ba 0.0000 0.0000 0.0000 [1 per cell]
Fe 0.0000 0.0000 0.5000 [1 per cell]
Re 0.3333 0.6667 0.7524 [2 per cell]
O 0.1615 0.3230 0.6786 [6 per cell]
O 0.3333 0.6667 0.9987 [2 per cell]

Results
electronic total energy	-92.402	eV for the cell shown
theoretical density	5435	kg/m³

[7]
DFT (PBE with a Hubbard U) results for a relaxed structure of BaFeRhO6.

a = 5.3114 Å, b = 8.9506 Å, c = 5.7300 Å
α = 90.00°, β = 91.13°, γ = 90.00°
Space group C2 (No. 5)
Symmetry-distinct sites (fractional):
Ba 0.0000 0.0000 0.0000 [2 per cell]
Fe 0.0000 0.6704 0.5000 [2 per cell]
Rh 0.0000 0.3339 0.5000 [2 per cell]
O 0.1077 0.5074 0.6917 [4 per cell]
O 0.1896 0.2012 0.6967 [4 per cell]
O 0.1896 0.8108 0.6842 [4 per cell]

Results
electronic total energy	-111.051	eV for the cell shown
theoretical density	4781	kg/m³

[8]
DFT (PBE with a Hubbard U) results for a relaxed structure of Ba2FeRhO5.

a = 3.4902 Å, b = 15.0640 Å, c = 10.6590 Å
α = 90.00°, β = 90.00°, γ = 90.00°
Space group Cmc2_1 (No. 36)
Symmetry-distinct sites (fractional):
Ba 0.0000 0.1204 0.0000 [4 per cell]
Ba 0.0000 0.1284 0.6278 [4 per cell]
Fe 0.0000 0.4302 0.7798 [4 per cell]
Rh 0.0000 0.2073 0.3368 [4 per cell]
O 0.0000 0.0602 0.3628 [4 per cell]
O 0.0000 0.2937 0.9541 [4 per cell]
O 0.0000 0.3064 0.7147 [4 per cell]
O 0.0000 0.3425 0.3194 [4 per cell]
O 0.0000 0.4901 0.6283 [4 per cell]

Results
electronic total energy	-229.950	eV for the cell shown
theoretical density	6085	kg/m³

What is the electronic total energy in the fourth record? -84.283 eV for the cell shown

What is the formula in the third record? Ba4Pu3FeO12